Here is a PBEsol-optimized structure of La2TcOsAu from Alexandria via LeMat-Bulk. Energies are from SCAN. Values from VASP.

Quantum ESPRESSO input file:
```
&SYSTEM
  ibrav = 0, nat = 5, ntyp = 4
/
ATOMIC_SPECIES
La 138.91 La.upf
Au 196.97 Au.upf
Tc 98.00 Tc.upf
Os 190.23 Os.upf
CELL_PARAMETERS angstrom
-3.682 2.644 0.137
-2.914 -3.943 -2.207
-1.168 -1.880 4.900
ATOMIC_POSITIONS angstrom
La -1.457 -1.972 -1.104
Au -3.882 -1.589 1.415
Tc 0.000 0.000 0.000
Os -1.841 1.322 0.068
La -0.584 -0.940 2.450
```

Values from the calculation:
The theoretical density comes out at 9.665 g/cm³. For the total magnetization, the calculation gives 0.5 μB per formula unit. The energy relative to the elements is 0.226 eV per atom. As for the crystal system: tetragonal.

***

Here is a PBEsol-optimized structure of RuC3Br2O3 from Alexandria via LeMat-Bulk. Energies are from SCAN. Values from VASP.

Quantum ESPRESSO input file:
```
&SYSTEM
  ibrav = 0, nat = 18, ntyp = 4
/
ATOMIC_SPECIES
Ru 101.07 Ru.upf
O 16.00 O.upf
Br 79.90 Br.upf
C 12.01 C.upf
CELL_PARAMETERS angstrom
-6.168 1.558 1.215
-3.736 -2.825 -4.474
-3.519 -8.069 4.712
ATOMIC_POSITIONS angstrom
Ru -3.409 -6.547 3.587
O -7.525 -6.406 -0.445
O -6.279 -6.941 2.664
Br -2.509 -1.936 0.419
C -8.227 -2.508 -1.585
C -4.458 -4.629 -1.604
O -7.144 -2.394 -1.210
C -6.030 -1.797 2.071
O -4.856 -4.805 -0.537
C -7.393 -7.538 -0.617
Ru -10.014 -2.787 -2.133
Br -4.293 -1.820 -3.170
Br -10.914 -7.399 1.035
O -5.898 -2.929 1.899
O -8.567 -4.529 1.991
Br -5.610 0.554 -0.089
C -5.195 -6.827 3.039
C -8.964 -4.706 3.058
```

Values from the calculation:
The electronic total energy comes out at -14.3647 eV per atom. The theoretical density comes out at 3.004 g/cm³. For the total magnetization, the calculation gives 0.0 μB per formula unit. As for the crystal system: monoclinic.

***

Here is a PBEsol-optimized structure of SrMg2Si from Alexandria via LeMat-Bulk. Energies are from SCAN. Values from VASP.

Quantum ESPRESSO input file:
```
&SYSTEM
  ibrav = 0, nat = 4, ntyp = 3
/
ATOMIC_SPECIES
Sr 87.62 Sr.upf
Mg 24.30 Mg.upf
Si 28.09 Si.upf
CELL_PARAMETERS angstrom
3.599 0.000 0.000
1.799 3.117 0.000
1.799 1.039 9.653
ATOMIC_POSITIONS angstrom
Sr 1.799 1.039 2.782
Mg 1.799 1.039 9.395
Si 3.599 2.078 5.081
Mg 5.398 3.116 6.875
```

Values from the calculation:
The electronic total energy comes out at -10.3124 eV per atom. The theoretical density comes out at 2.520 g/cm³. For the total magnetization, the calculation gives 0.0 μB per formula unit. As for the crystal system: trigonal.

***

Here is a PBEsol-optimized structure of Nb2Si2Os from Alexandria via LeMat-Bulk. Energies are from SCAN. Values from VASP.

Quantum ESPRESSO input file:
```
&SYSTEM
  ibrav = 0, nat = 10, ntyp = 3
/
ATOMIC_SPECIES
Os 190.23 Os.upf
Nb 92.91 Nb.upf
Si 28.09 Si.upf
CELL_PARAMETERS angstrom
4.074 0.000 0.000
0.000 6.083 0.000
0.000 0.000 6.083
ATOMIC_POSITIONS angstrom
Os 0.000 3.042 3.042
Nb 2.037 4.017 5.108
Nb 2.037 5.108 2.066
Nb 2.037 0.976 4.017
Nb 2.037 2.066 0.976
Si 0.000 0.840 2.202
Si 0.000 3.882 0.840
Si 0.000 2.202 5.244
Si 0.000 5.244 3.882
Os 0.000 0.000 0.000
```

Values from the calculation:
The electronic total energy comes out at -32.2382 eV per atom. The theoretical density comes out at 9.520 g/cm³. For the total magnetization, the calculation gives 0.0 μB per formula unit. As for the crystal system: tetragonal.

***

Here is a PBEsol-optimized structure of TaTePb2 from Alexandria via LeMat-Bulk. Energies are from SCAN. Values from VASP.

Quantum ESPRESSO input file:
```
&SYSTEM
  ibrav = 0, nat = 4, ntyp = 3
/
ATOMIC_SPECIES
Pb 207.20 Pb.upf
Te 127.60 Te.upf
Ta 180.95 Ta.upf
CELL_PARAMETERS angstrom
4.216 0.000 0.000
0.000 4.216 0.000
0.000 0.000 5.622
ATOMIC_POSITIONS angstrom
Pb 2.108 0.000 0.000
Te 0.000 0.000 2.811
Ta 2.108 2.108 2.811
Pb 0.000 2.108 0.000
```

Values from the calculation:
The electronic total energy comes out at -63.1006 eV per atom. The theoretical density comes out at 12.013 g/cm³. For the total magnetization, the calculation gives 1.4 μB per formula unit. As for the crystal system: tetragonal.

***

Here is a PBEsol-optimized structure of In2SbRh from Alexandria via LeMat-Bulk. Energies are from SCAN. Values from VASP.

Quantum ESPRESSO input file:
```
&SYSTEM
  ibrav = 0, nat = 4, ntyp = 3
/
ATOMIC_SPECIES
Sb 121.76 Sb.upf
In 114.82 In.upf
Rh 102.91 Rh.upf
CELL_PARAMETERS angstrom
-4.014 0.594 1.857
-1.946 -1.472 -3.736
3.086 -3.393 2.394
ATOMIC_POSITIONS angstrom
Sb -0.920 -2.652 -1.141
In -1.954 -1.619 1.656
In 0.000 0.000 0.000
Rh -2.980 -0.439 -0.940
```

Values from the calculation:
The electronic total energy comes out at -34.3200 eV per atom. The theoretical density comes out at 9.240 g/cm³. For the total magnetization, the calculation gives 0.0 μB per formula unit. As for the crystal system: tetragonal.

***

Here is a PBEsol-optimized structure of TlRuW2 from Alexandria via LeMat-Bulk. Energies are from SCAN. Values from VASP.

Quantum ESPRESSO input file:
```
&SYSTEM
  ibrav = 0, nat = 4, ntyp = 3
/
ATOMIC_SPECIES
Ru 101.07 Ru.upf
W 183.84 W.upf
Tl 204.38 Tl.upf
CELL_PARAMETERS angstrom
-0.409 -2.357 -1.992
3.583 -2.281 1.963
-4.450 0.342 2.942
ATOMIC_POSITIONS angstrom
Ru 1.498 -2.380 0.077
W -1.153 -4.211 2.787
Tl -1.654 -2.180 0.486
W 0.344 -2.140 2.462
```

Values from the calculation:
The theoretical density comes out at 16.876 g/cm³. For the total magnetization, the calculation gives 0.0 μB per formula unit. The energy relative to the elements is 0.782 eV per atom. As for the crystal system: orthorhombic.

***

Here is a PBEsol-optimized structure of La3InC from Alexandria via LeMat-Bulk. Energies are from SCAN. Values from VASP.

Quantum ESPRESSO input file:
```
&SYSTEM
  ibrav = 0, nat = 5, ntyp = 3
/
ATOMIC_SPECIES
In 114.82 In.upf
La 138.91 La.upf
C 12.01 C.upf
CELL_PARAMETERS angstrom
5.165 0.000 0.000
0.000 5.165 0.000
0.000 0.000 5.165
ATOMIC_POSITIONS angstrom
In 0.000 0.000 0.000
La 2.583 2.583 0.000
C 2.583 2.583 2.583
La 0.000 2.583 2.583
La 2.583 0.000 2.583
```

Values from the calculation:
The theoretical density comes out at 6.550 g/cm³. For the total magnetization, the calculation gives 0.0 μB per formula unit. The energy relative to the elements is -0.473 eV per atom. As for the crystal system: cubic.